An optimized crystal structure of Lu2TiAg. Source: the Alexandria database, functional PBE.

Unit cell a=5.055 b=5.055 c=3.589 alpha=90.00 beta=90.00 gamma=90.00
Space group P4/mmm (No. 123)
One atom of each set of equivalent atoms:
Lu: 0.000 0.500 0.000 (multiplicity 2)
Ti: 0.000 0.000 0.500 (multiplicity 1)
Ag: 0.500 0.500 0.500 (multiplicity 1)

Results
Calculated density = 9.157 Mg/m³
Formation energy from the elements = 16 meV per atom
Magnetization = 0.621 μB per atom
Raw total energy = -19.7 eV/f.u.